The following is a GGA-PBE calculation of a geometry-optimized Th2TeRh structure, from the Alexandria database.

```
Th2TeRh
1.0
-1.235 -2.178 -3.312
2.637 -2.601 -1.875
-2.362 -5.758 4.667
Th Rh Te
2 1 1
Cartesian
0.450 -4.367 -2.500
-1.410 -6.170 1.981
0.000 0.000 0.000
-1.181 -2.879 2.334
```

crystal system: trigonal
formation energy (no corrections): -0.991 eV per atom
offset from the most stable computed form: 0.19 eV per formula unit
space-group type: No. 164